Model w:
# LaPmCdRu

A relaxed LaPmCdRu crystal (PBE, Alexandria via LeMat-Bulk).

Geometry as CIF:
```
data_LaPmCdRu
_chemical_formula_sum 'La4 Pm4 Cd4 Ru4'
_space_group_name_H-M_alt 'F -4 3 m'
_space_group_IT_number 216
_space_group_name_Hall 'F -4 2 3'
_cell_length_a 7.389
_cell_length_b 7.389
_cell_length_c 7.389
_cell_angle_alpha 90.00
_cell_angle_beta 90.00
_cell_angle_gamma 90.00
loop_
_atom_site_label
_atom_site_type_symbol
_atom_site_fract_x
_atom_site_fract_y
_atom_site_fract_z
_atom_site_occupancy
La1 La 0.000 0.000 0.000 1
Pm1 Pm 0.000 0.000 0.500 1
Cd1 Cd 0.250 0.250 0.250 1
Ru1 Ru 0.250 0.250 0.750 1
```

Model x:
# LaPmCdRu

A relaxed LaPmCdRu crystal (PBE, Alexandria via LeMat-Bulk).

Geometry as CIF:
```
data_LaPmCdRu
_chemical_formula_sum 'La1 Pm1 Cd1 Ru1'
_space_group_name_H-M_alt 'P 4 m m'
_space_group_IT_number 99
_space_group_name_Hall 'P 4 -2'
_cell_length_a 3.572
_cell_length_b 3.572
_cell_length_c 8.045
_cell_angle_alpha 90.00
_cell_angle_beta 90.00
_cell_angle_gamma 90.00
loop_
_atom_site_label
_atom_site_type_symbol
_atom_site_fract_x
_atom_site_fract_y
_atom_site_fract_z
_atom_site_occupancy
La1 La 0.000 0.000 0.000 1
Pm1 Pm 0.000 0.000 0.570 1
Cd1 Cd 0.500 0.500 0.297 1
Ru1 Ru 0.500 0.500 0.780 1
```

Which is most stable, and by how much? model x, by 88 meV/atom.